(1)
Computed, not measured: a geometry-optimized HgB3Br structure at the PBE level of DFT.

Values from the calculation:
raw total energy = -1.91 eV/atom
offset from the most stable computed form = 349 meV per atom
formation energy from raw total energies = 2488 meV per atom
total moment = 0.00 μB/f.u.

CIF file:
```
data_HgB3Br
_chemical_formula_sum 'Hg1 B3 Br1'
_symmetry_space_group_name_H-M 'P m -3 m'
_symmetry_Int_Tables_number 221
_symmetry_space_group_name_Hall '-P 4 2 3'
_cell_length_a 4.270
_cell_length_b 4.270
_cell_length_c 4.270
_cell_angle_alpha 90.00
_cell_angle_beta 90.00
_cell_angle_gamma 90.00
loop_
_atom_site_label
_atom_site_fract_x
_atom_site_fract_y
_atom_site_fract_z
Hg1 0.000 0.000 0.000
B1 0.000 0.500 0.500
Br1 0.500 0.500 0.500
```

(2)
Computed, not measured: a geometry-optimized HgBBr2 structure at the PBE level of DFT.

Values from the calculation:
raw total energy = -2.28 eV/atom
offset from the most stable computed form = 0 meV per atom
formation energy from raw total energies = 298 meV per atom
total moment = 0.00 μB/f.u.

CIF file:
```
data_HgBBr2
_chemical_formula_sum 'Hg4 B4 Br8'
_symmetry_space_group_name_H-M 'I -4 2 d'
_symmetry_Int_Tables_number 122
_symmetry_space_group_name_Hall 'I -4 2bw'
_cell_length_a 7.155
_cell_length_b 7.155
_cell_length_c 10.105
_cell_angle_alpha 90.00
_cell_angle_beta 90.00
_cell_angle_gamma 90.00
loop_
_atom_site_label
_atom_site_fract_x
_atom_site_fract_y
_atom_site_fract_z
Hg1 0.000 0.000 0.000
B1 0.000 0.000 0.500
Br1 0.001 0.750 0.625
```

(3)
Computed, not measured: a geometry-optimized HgBBr2 structure at the PBE level of DFT.

Values from the calculation:
raw total energy = -2.03 eV/atom
offset from the most stable computed form = 253 meV per atom
formation energy from raw total energies = 551 meV per atom
total moment = 0.00 μB/f.u.

CIF file:
```
data_HgBBr2
_chemical_formula_sum 'Hg3 B3 Br6'
_symmetry_space_group_name_H-M 'R -3 m'
_symmetry_Int_Tables_number 166
_symmetry_space_group_name_Hall '-R 3 2"'
_cell_length_a 3.4308
_cell_length_b 3.4308
_cell_length_c 33.0219
_cell_angle_alpha 90.00
_cell_angle_beta 90.00
_cell_angle_gamma 120.00
loop_
_atom_site_label
_atom_site_fract_x
_atom_site_fract_y
_atom_site_fract_z
Hg1 0.0000 0.0000 0.0000
B1 0.0000 0.0000 0.5000
Br1 0.0000 0.0000 0.1240
```